No. 1
Here is AgRuO3 after structural relaxation from Alexandria via LeMat-Bulk. Energies are from PBEsol.

abc: 7.0659 7.0659 7.0659
angles: 60.00 60.00 60.00
With the nearest neighbours (Å) after each atom.
Fractional coordinates of all 20 atoms:
O 0.4485 0.0515 0.4485  2 Ru 1.91
O 0.8015 0.1985 0.1985  2 Ru 1.91
O 0.0515 0.0515 0.4485  2 Ru 1.91
O 0.8015 0.1985 0.8015  2 Ru 1.91
O 0.0515 0.4485 0.0515  2 Ru 1.91
O 0.0515 0.4485 0.4485  2 Ru 1.91
O 0.8015 0.8015 0.1985  2 Ru 1.91
O 0.1985 0.8015 0.8015  2 Ru 1.91
O 0.4485 0.4485 0.0515  2 Ru 1.91
O 0.1985 0.1985 0.8015  2 Ru 1.91
O 0.4485 0.0515 0.0515  2 Ru 1.91
O 0.1985 0.8015 0.1985  2 Ru 1.91
Ag 0.6250 0.1250 0.6250  6 O 2.50
Ag 0.6250 0.6250 0.6250  6 O 2.50
Ag 0.6250 0.6250 0.1250  6 O 2.50
Ag 0.1250 0.6250 0.6250  6 O 2.50
Ru 0.6250 0.1250 0.1250  6 O 1.91
Ru 0.1250 0.6250 0.1250  6 O 1.91
Ru 0.1250 0.1250 0.1250  6 O 1.91
Ru 0.1250 0.1250 0.6250  6 O 1.91

No. 2
Here is Ag3RuO4 after structural relaxation from Alexandria via LeMat-Bulk. Energies are from PBEsol.

abc: 7.5313 7.5313 7.5585
angles: 90.00 90.00 90.00
With the nearest neighbours (Å) after each atom.
Fractional coordinates of all 32 atoms:
O 0.0875 0.6700 0.7670  1 Ru 1.90
O 0.9125 0.3300 0.2670  1 Ru 1.90
O 0.0875 0.3300 0.7330  1 Ru 1.90
O 0.6890 0.5462 0.4959  2 Ru 1.91-1.97
O 0.4538 0.3110 0.7541  2 Ru 1.91-1.97
O 0.5462 0.3110 0.2459  2 Ru 1.91-1.97
O 0.6700 0.0875 0.9830  1 Ru 1.90
O 0.5462 0.6890 0.2541  2 Ru 1.91-1.97
O 0.3110 0.5462 0.5041  2 Ru 1.91-1.97
O 0.3110 0.4538 0.9959  2 Ru 1.91-1.97
O 0.6700 0.9125 0.5170  1 Ru 1.90
O 0.3300 0.9125 0.4830  1 Ru 1.90
O 0.6890 0.4538 0.0041  2 Ru 1.91-1.97
O 0.9125 0.6700 0.2330  1 Ru 1.90
O 0.3300 0.0875 0.0170  1 Ru 1.90
O 0.4538 0.6890 0.7459  2 Ru 1.91-1.97
Ag 0.1950 0.0000 0.2500  2 O 2.14
Ag 0.5000 0.1819 0.5000  4 O 2.18-2.40
Ag 0.1954 0.0000 0.7500  4 O 2.35-2.62
Ag 0.0000 0.8050 0.0000  2 O 2.14
Ag 0.8181 0.5000 0.7500  4 O 2.18-2.40
Ag 0.0000 0.8046 0.5000  4 O 2.35-2.62
Ag 0.0000 0.1950 0.5000  2 O 2.14
Ag 0.0000 0.1954 0.0000  4 O 2.35-2.62
Ag 0.5000 0.8181 0.0000  4 O 2.18-2.40
Ag 0.8046 0.0000 0.2500  4 O 2.35-2.62
Ag 0.1819 0.5000 0.2500  4 O 2.18-2.40
Ag 0.8050 0.0000 0.7500  2 O 2.14
Ru 0.5000 0.2726 0.0000  6 O 1.90-1.97
Ru 0.2726 0.5000 0.7500  6 O 1.90-1.97
Ru 0.5000 0.7274 0.5000  6 O 1.90-1.97
Ru 0.7274 0.5000 0.2500  6 O 1.90-1.97

No. 3
Here is AgSO4 after structural relaxation from Alexandria via LeMat-Bulk. Energies are from PBEsol.

abc: 9.4939 9.5006 9.5006
angles: 94.08 116.87 116.87
With the nearest neighbours (Å) after each atom.
Fractional coordinates of all 48 atoms:
O 0.4828 0.1900 0.1106  1 S 1.49
O 0.0946 0.3996 0.1916  1 S 1.49
O 0.0263 0.7108 0.6352  1 S 1.49
O 0.5623 0.1833 0.6964  1 S 1.49
O 0.4377 0.8167 0.3036  1 S 1.49
O 0.9323 0.1364 0.6196  1 S 1.49
O 0.9737 0.2892 0.3648  1 S 1.49
O 0.2193 0.2971 0.8998  1 S 1.49
O 0.8557 0.5528 0.2838  1 S 1.49
O 0.7366 0.9436 0.7981  1 S 1.49
O 0.9377 0.3036 0.8167  1 S 1.49
O 0.4054 0.8084 0.6004  1 S 1.49
O 0.5677 0.3804 0.8636  1 S 1.49
O 0.2634 0.0564 0.2019  1 S 1.49
O 0.5263 0.6352 0.7108  1 S 1.49
O 0.4737 0.3648 0.2892  1 S 1.49
O 0.2366 0.7981 0.9436  1 S 1.49
O 0.0677 0.8636 0.3804  1 S 1.49
O 0.6443 0.7162 0.4472  1 S 1.49
O 0.0623 0.6964 0.1833  1 S 1.49
O 0.7193 0.8998 0.2971  1 S 1.49
O 0.4323 0.6196 0.1364  1 S 1.49
O 0.3557 0.2838 0.5528  1 S 1.49
O 0.1443 0.4472 0.7162  1 S 1.49
O 0.5172 0.8100 0.8894  1 S 1.49
O 0.9828 0.1106 0.1900  1 S 1.49
O 0.5946 0.1916 0.3996  1 S 1.49
O 0.7634 0.2019 0.0564  1 S 1.49
O 0.7807 0.7029 0.1002  1 S 1.49
O 0.2807 0.1002 0.7029  1 S 1.49
O 0.0172 0.8894 0.8100  1 S 1.49
O 0.9054 0.6004 0.8084  1 S 1.49
Ag 0.0000 0.0000 0.0000  4 O 2.13
Ag 0.0000 0.5000 0.5000  4 O 2.14-2.15
Ag 0.5000 0.5000 0.0000  4 O 2.13-2.14
Ag 0.0000 0.0000 0.5000  4 O 2.13-2.14
Ag 0.5000 0.0000 0.0000  4 O 2.13
Ag 0.0000 0.5000 0.0000  4 O 2.11-2.14
Ag 0.5000 0.0000 0.5000  4 O 2.11-2.14
Ag 0.5000 0.5000 0.5000  4 O 2.14-2.15
S 0.4400 0.2375 0.7018  4 O 1.49
S 0.5489 0.8011 0.7502  4 O 1.49
S 0.9400 0.7018 0.2375  4 O 1.49
S 0.9511 0.2498 0.1989  4 O 1.49
S 0.4511 0.1989 0.2498  4 O 1.49
S 0.5600 0.7625 0.2982  4 O 1.49
S 0.0600 0.2982 0.7625  4 O 1.49
S 0.0489 0.7502 0.8011  4 O 1.49

* distance to the lowest polymorph of the same formula: 0.000 eV per atom

no.,formation energy from raw total energies (meV/atom)
1,-603
2,-368
3,-929